# SmGa2Co3 | Alexandria | PBE | relaxed
data_SmGa2Co3
_chemical_formula_sum 'Sm1 Ga2 Co3'
_cell_length_a 5.2931
_cell_length_b 5.2931
_cell_length_c 3.7417
_cell_angle_alpha 90.00
_cell_angle_beta 90.00
_cell_angle_gamma 120.00
_space_group_name_H-M_alt 'P 6/m m m'
_space_group_IT_number 191
_space_group_name_Hall '-P 6 2'
loop_
_atom_site_label
_atom_site_type_symbol
_atom_site_fract_x
_atom_site_fract_y
_atom_site_fract_z
_atom_site_occupancy
Sm1 Sm 0.0000 0.0000 0.0000 1
Ga1 Ga 0.3333 0.6667 0.0000 1
Co1 Co 0.0000 0.5000 0.5000 1
# total magnetic moment = 0.576 μB per formula unit
# DFT total energy = -34.1 eV per cell
# ΔE_f = -0.343 eV/atom
# volume = 15.13 Å³ per atom